# 1
## AlSiO (PBE)

Data for a geometry-optimized AlSiO structure.

Computed properties:
total DFT energy (no corrections)	-6.149	eV/atom
volume	14.9	Å³/atom
D(E_F)	0.5	states/eV per cell
M_tot	0.0000	μB per atom
formation energy without anion corrections	-1.441	eV/atom

Cell lengths 3.0197, 7.3733, 4.0255 Å; angles 90.00, 90.00, 90.00 degrees
Last column: nearest neighbours and their distance in Å.
Space group Pmn2_1 (No. 31)
Unique sites:
Al: 0.0000 0.1293 0.0000  3 O 1.80-1.83
Si: 0.0000 0.4525 0.1527  1 Al 2.46, 4 Si 2.61
O: 0.0000 0.9366 0.2868  3 Al 1.80-1.83



# 2
## SrLiAgSb2 (PBE)

Data for a geometry-optimized SrLiAgSb2 structure.

Computed properties:
total DFT energy (no corrections)	-3.528	eV/atom
volume	26.4	Å³/atom
D(E_F)	2.4	states/eV per cell
M_tot	0.0000	μB per atom
formation energy without anion corrections	-0.590	eV/atom

Cell lengths 4.6635, 4.6635, 12.1480 Å; angles 90.00, 90.00, 90.00 degrees
Last column: nearest neighbours and their distance in Å.
Space group I-4m2 (No. 119)
Unique sites:
Sr: 0.0000 0.0000 0.0000  8 Sb 3.61, 4 Li 3.83, 4 Ag 3.83
Li: 0.0000 0.5000 0.2500  4 Sb 2.81
Ag: 0.0000 0.5000 0.7500  4 Sb 2.81
Sb: 0.0000 0.0000 0.3797  2 Li 2.81, 2 Ag 2.81, 1 Sb 2.92